Entry 1:
! Ca2CuAs, relaxed, DFT PBE; values from VASP
! Fermi-level density of states (states/eV/f.u.): 3.8
! ΔE_f (eV per atom): -0.07
&SYSTEM
  ibrav = 0, nat = 4, ntyp = 3
/
ATOMIC_SPECIES
Ca 40.08 Ca.upf
Cu 63.55 Cu.upf
As 74.92 As.upf
CELL_PARAMETERS angstrom
0.000 3.580 3.580
3.580 0.000 3.580
3.580 3.580 0.000
ATOMIC_POSITIONS crystal
Ca 0.000 0.000 0.000
Ca 0.250 0.250 0.250
Cu 0.500 0.500 0.500
As 0.750 0.750 0.750

Entry 2:
! CeZr4Ru5, relaxed, DFT PBE; values from VASP
! Fermi-level density of states (states/eV/f.u.): 7.5
! ΔE_f (eV per atom): -0.56
&SYSTEM
  ibrav = 0, nat = 10, ntyp = 3
/
ATOMIC_SPECIES
Ce 140.12 Ce.upf
Zr 91.22 Zr.upf
Ru 101.07 Ru.upf
CELL_PARAMETERS angstrom
3.272 0.000 0.000
0.000 3.272 0.000
0.000 0.000 17.024
ATOMIC_POSITIONS crystal
Ce 0.000 0.000 0.000
Zr 0.000 0.000 0.208
Zr 0.000 0.000 0.403
Zr 0.000 0.000 0.597
Zr 0.000 0.000 0.792
Ru 0.500 0.500 0.116
Ru 0.500 0.500 0.307
Ru 0.500 0.500 0.500
Ru 0.500 0.500 0.693
Ru 0.500 0.500 0.884

Entry 3:
! CdCuIN2, relaxed, DFT PBE; values from VASP
! ΔE to the lowest computed polymorph (meV per atom): 262
! Fermi-level density of states (states/eV/f.u.): 2.5
&SYSTEM
  ibrav = 0, nat = 5, ntyp = 4
/
ATOMIC_SPECIES
Cd 112.41 Cd.upf
Cu 63.55 Cu.upf
I 126.90 I.upf
N 14.01 N.upf
CELL_PARAMETERS angstrom
4.240 0.000 0.000
0.000 4.240 0.000
0.000 0.000 6.732
ATOMIC_POSITIONS crystal
Cd 0.000 0.000 0.000
Cu 0.500 0.500 0.500
I 0.000 0.000 0.500
N 0.000 0.500 0.000
N 0.500 0.000 0.000

Look up the Fermi-level density of states of the first one.
3.8 states/eV/f.u.

The lowest Fermi-level density of states belongs to which entry?
CdCuIN2

Which value of Fermi-level density of states does entry 3 give?
2.5 states/eV/f.u.